VASP calculation (PBE-GGA) on an optimized crystal structure of CoAu2Se.

Computed properties:
* formation energy (no corrections): 0.4235 eV per atom
* Fermi-level density of states: 1.584 states/eV/atom
* space-group type: No. 122

```
CoAu2Se
1.0
-1.5095 6.8382 2.5308
-6.9568 -2.1247 1.5913
-3.4622 1.6358 4.4688
Co Au Se
2 4 2
Cartesian
-4.2332 2.3567 2.0611 Co
-7.3261 0.9340 4.0606 Co
-5.4246 0.0369 2.4655 Au
-9.9019 5.3826 6.9350 Au
-2.6563 4.3162 2.8605 Au
-5.8744 2.9630 4.9209 Au
-4.6025 5.4154 4.5303 Se
0.0000 0.0000 0.0000 Se
```